1.
This record from Alexandria via LeMat-Bulk describes ZrIn2Au after structural relaxation. The functional is GGA-PBE.

extended XYZ file:
```
4
Lattice="-2.2820 -2.8207 -3.0638 -1.4262 -1.4373 2.3856 -4.4497 3.9225 -0.2971" Properties=species:S:1:pos:R:3 pbc="T T T"
Au -4.4059 1.4667 -1.7489
In -5.8244 2.4426 2.0894
In -2.3325 -0.3613 -1.6103
Zr -2.9827 1.2816 1.0416
```

Results
As for the space group: Pmm2, No. 25. The calculation puts the formation energy at -0.218 eV/atom. The value obtained for the offset from the most stable computed form is 3.29 kcal/mol of atoms.



2.
This record from Alexandria via LeMat-Bulk describes Zr8Bi2S after structural relaxation. The functional is GGA-PBE.

extended XYZ file:
```
11
Lattice="-0.0623 -1.4063 -3.5596 7.9464 -0.2618 -0.0357 -0.8986 -7.0452 4.8571" Properties=species:S:1:pos:R:3 pbc="T T T"
Zr 3.8690 -2.1672 -1.2696
Zr 6.9543 -5.5830 2.0839
Zr 2.4621 -3.2084 1.2244
Zr 5.2435 -8.4425 1.1855
Zr 4.5234 -5.5048 0.0375
Zr 0.0312 -3.1303 -0.8220
Zr 3.1165 -6.5460 2.5315
Zr 1.7420 -0.2707 0.0764
Bi 5.6918 -2.9160 1.0524
Bi 1.2936 -5.7972 0.2095
S -0.0312 -0.7031 -1.7798
```

Results
The formation energy from raw total energies is -459.7 meV/atom. As for the space group: C2/m, No. 12.



3.
This record from Alexandria via LeMat-Bulk describes Gd2TmHf after structural relaxation. The functional is GGA-PBE.

extended XYZ file:
```
4
Lattice="-1.7519 -2.6203 -1.3133 -0.4969 -1.2423 3.1416 -8.2858 5.1717 0.7345" Properties=species:S:1:pos:R:3 pbc="T T T"
Gd -6.0698 3.7885 0.5380
Gd -2.2161 1.3832 0.1964
Tm -1.1244 -1.9313 0.9141
Hf -5.2674 0.6546 1.2814
```

Results
As for the space group: P4/mmm, No. 123. The calculation puts the formation energy at 0.119 eV/atom. The value obtained for the offset from the most stable computed form is 0.00 kcal/mol of atoms.



4.
This record from Alexandria via LeMat-Bulk describes Pm2Y3Ho3 after structural relaxation. The functional is GGA-PBE.

extended XYZ file:
```
8
Lattice="0.2101 -1.8578 3.0664 -3.2153 -4.6464 -2.5927 8.3631 -8.0733 -3.3532" Properties=species:S:1:pos:R:3 pbc="T T T"
Pm 3.4491 -5.6629 -1.5598
Pm 1.9087 -8.9147 -1.3198
Y 4.8404 -8.4298 -3.3294
Y 0.5174 -6.1477 0.4499
Y 0.0000 0.0000 0.0000
Ho 3.3436 -11.6741 -3.0885
Ho -1.5026 -3.2521 0.2369
Ho 2.0142 -2.9034 0.2090
```

Results
As for the space group: C2/m, No. 12. The calculation puts the formation energy at 0.003 eV/atom. The value obtained for the offset from the most stable computed form is 0.00 kcal/mol of atoms.



5.
This record from Alexandria via LeMat-Bulk describes Ho3Al6Ag5 after structural relaxation. The functional is GGA-PBE.

extended XYZ file:
```
14
Lattice="-1.6770 3.8010 1.4411 -1.6452 -1.2529 8.0989 6.0683 3.4889 4.5686" Properties=species:S:1:pos:R:3 pbc="T T T"
Ho 0.0000 0.0000 0.0000
Ho 0.1236 3.3390 4.7548
Ho 2.6225 2.6979 9.3539
Al -0.0606 2.1372 7.7105
Al 2.8066 3.8998 6.3982
Al 3.0481 5.7353 8.5468
Al -0.3020 0.3017 5.5619
Al -0.3060 3.6734 10.0819
Al 3.0521 2.3635 4.0268
Ag 3.7105 5.0599 11.0989
Ag -0.9644 0.9770 3.0098
Ag 1.5166 3.7113 12.1030
Ag 1.2295 2.3257 2.0057
Ag 2.2116 1.1180 6.3338
```

Results
As for the space group: Immm, No. 71. The calculation puts the formation energy at -0.329 eV/atom.



6.
This record from Alexandria via LeMat-Bulk describes Na3Tl4 after structural relaxation. The functional is GGA-PBE.

extended XYZ file:
```
7
Lattice="3.4978 0.0000 -0.5093 -0.1313 4.6623 -0.9016 -0.0026 -0.0514 12.2495" Properties=species:S:1:pos:R:3 pbc="T T T"
Na 2.9484 1.6270 7.9840
Na -0.0656 2.3312 -0.4508
Na 0.4156 2.9839 2.8546
Tl 2.4671 0.9742 4.6785
Tl 0.8969 3.6367 6.1602
Tl 1.3780 4.2893 9.4646
Tl 1.9860 0.3216 1.3740
```

Results
As for the space group: Immm, No. 71. The calculation puts the formation energy at -0.098 eV/atom. The value obtained for the offset from the most stable computed form is 0.00 kcal/mol of atoms.